Density functional theory data (PBE) for Li4In2CuAu after structural relaxation.

a = 4.498 Å, b = 4.498 Å, c = 6.380 Å
α = 90.00°, β = 90.00°, γ = 90.00°
Positions (direct):
1 Li 0.000 0.000 0.000
2 Li 0.000 0.500 0.745
3 Li 0.500 0.000 0.255
4 Li 0.500 0.500 0.500
5 In 0.000 0.500 0.267
6 In 0.500 0.000 0.733
7 Cu 0.000 0.000 0.500
8 Au 0.500 0.500 0.000

Output
Calculated volume   16.13 Å³/atom
Space group   P-4m2
Uncorrected energy   -2.86 eV per atom